4
Lattice="-2.799 6.090 1.866 -1.591 3.087 6.029 4.555 -3.414 -4.001" Properties=species:S:1:pos:R:3 comment="ScTlP2 | Alexandria | PBE-GGA | optimized geometry" de_polymorph_mev_per_atom=168 density_g_cm3=5.79 total_magnetization_mub_per_cell=0.0 e_form_ev_per_atom=-0.360 n_ef_per_ev_fu=1.76 pbc="T T T"
Tl -0.419 4.050 1.266
Sc -2.299 4.806 4.135
P -0.077 0.160 0.138
P 0.765 1.335 2.303